# 1
The following is a GGA-PBE calculation of a relaxed structure of Li3Tl3Cd2, from the Alexandria database.

Summary:
As for the crystal system: hexagonal. The distance to the lowest polymorph of the same formula comes out at 0.044 eV per formula unit.

a = 3.254 Å, b = 8.022 Å, c = 8.022 Å
α = 120.00°, β = 90.00°, γ = 90.00°
Atoms (fractional coordinates):
1 Tl 0.000 0.753 0.753
2 Tl 0.000 0.000 0.247
3 Tl 0.000 0.247 0.000
4 Li 0.500 0.623 0.000
5 Li 0.500 0.377 0.377
6 Li 0.500 0.000 0.623
7 Cd 0.000 0.667 0.333
8 Cd 0.000 0.333 0.667

# 2
The following is a GGA-PBE calculation of a relaxed structure of Li6Tl12Cd, from the Alexandria database.

Summary:
The uncorrected energy is -2.2411 eV per atom. As for the crystal system: trigonal.

a = 7.847 Å, b = 7.847 Å, c = 7.847 Å
α = 88.14°, β = 88.14°, γ = 88.14°
Atoms (fractional coordinates):
1 Li 0.895 0.269 0.727
2 Li 0.731 0.273 0.105
3 Li 0.273 0.105 0.731
4 Li 0.269 0.727 0.895
5 Li 0.105 0.731 0.273
6 Li 0.727 0.895 0.269
7 Tl 0.990 0.844 0.633
8 Tl 0.633 0.990 0.844
9 Tl 0.367 0.010 0.156
10 Tl 0.544 0.436 0.797
11 Tl 0.203 0.456 0.564
12 Tl 0.844 0.633 0.990
13 Tl 0.564 0.203 0.456
14 Tl 0.797 0.544 0.436
15 Tl 0.456 0.564 0.203
16 Tl 0.436 0.797 0.544
17 Tl 0.156 0.367 0.010
18 Tl 0.010 0.156 0.367
19 Cd 0.000 0.000 0.000

So what do the calculations give for density of states at the Fermi level? Going down the list: 2.96; 8.77 states/eV per cell.
So what do the calculations give for magnetic moment? Going down the list: 0.000; 0.000 μB per atom.